An optimized crystal structure of Hf3BiC2, computed with PBE.

Values from the calculation:
**Space-group type**: P6_3/mmc (194)
**Uncorrected energy**: -9.453 eV/atom
**Total magnetization**: 0.00 μB per formula unit

a = 3.3820 Å, b = 3.3820 Å, c = 19.7614 Å
α = 90.00°, β = 90.00°, γ = 120.00°
Sites, in units of the cell vectors:
Hf  0.0000  0.0000  0.0000
Hf  0.0000  0.0000  0.5000
Hf  0.3333  0.6667  0.1260
Hf  0.3333  0.6667  0.3740
Hf  0.6667  0.3333  0.6260
Hf  0.6667  0.3333  0.8740
Bi  0.0000  0.0000  0.2500
Bi  0.0000  0.0000  0.7500
C  0.3333  0.6667  0.5694
C  0.3333  0.6667  0.9306
C  0.6667  0.3333  0.0694
C  0.6667  0.3333  0.4306

***

An optimized crystal structure of SiTcNO, computed with PBE.

Values from the calculation:
**Space-group type**: Pca2_1 (29)
**Uncorrected energy**: -8.114 eV/atom
**E above lowest polymorph**: 24 kJ/mol of formula units
**Total magnetization**: 0.00 μB per formula unit

a = 5.1288 Å, b = 7.5608 Å, c = 4.7126 Å
α = 90.00°, β = 90.00°, γ = 90.00°
Sites, in units of the cell vectors:
Si  0.0782  0.0987  0.0000
Si  0.4218  0.0987  0.5000
Si  0.5782  0.9013  0.0000
Si  0.9218  0.9013  0.5000
Tc  0.1102  0.5374  0.9237
Tc  0.3898  0.5374  0.4237
Tc  0.6102  0.4626  0.9237
Tc  0.8898  0.4626  0.4237
N  0.1169  0.0665  0.6429
N  0.3831  0.0665  0.1429
N  0.6169  0.9335  0.6429
N  0.8831  0.9335  0.1429
O  0.0599  0.7089  0.5694
O  0.4401  0.7089  0.0694
O  0.5599  0.2911  0.5694
O  0.9401  0.2911  0.0694

***

- Which of these has the highest uncorrected energy?
  SiTcNO

***

- Which formula does entry 1 have?
  Hf3BiC2